Computed, not measured: a relaxed structure of DyTh2As3 at the PBE level of DFT.

CIF file:
```
data_DyTh2As3
_space_group_name_H-M_alt 'I m m m'
_space_group_IT_number 71
_space_group_name_Hall '-I 2 2'
_cell_length_a 4.2073
_cell_length_b 5.9608
_cell_length_c 12.6458
_cell_angle_alpha 90.00
_cell_angle_beta 90.00
_cell_angle_gamma 90.00
loop_
_atom_site_label
_atom_site_type_symbol
_atom_site_fract_x
_atom_site_fract_y
_atom_site_fract_z
Dy1 Dy 0.0000 0.0000 0.0000
Th1 Th 0.0000 0.0000 0.3331
As1 As 0.0000 0.5000 0.0000
As2 As 0.0000 0.5000 0.3376
```

ΔE_f ... -1442.3 meV per atom
Excess energy over the best structure of this formula in the dataset ... 0.00 eV/f.u.